[1]
{
  "formula": "Ca2BeW",
  "functional": "PBE",
  "state": "optimized geometry",
  "dos_at_fermi_per_ev_atom": 0.572,
  "ef_mev_per_atom": 491.9,
  "spacegroup": "No. 6",
  "lattice": [[3.340, 0.000, 0.000], [0.000, 3.359, 0.308], [0.000, 4.263, 8.869]],
  "species": ["Be", "W", "Ca", "Ca"],
  "frac_coords": [[0.500, 0.980, 0.638], [0.000, 0.525, 0.608], [0.500, 0.443, 0.329], [0.000, 0.551, 0.925]]
}

***

[2]
{
  "formula": "Zr2Ni2Pd",
  "functional": "PBE",
  "state": "optimized geometry",
  "dos_at_fermi_per_ev_atom": 1.177,
  "ef_mev_per_atom": -272.8,
  "spacegroup": "No. 139",
  "lattice": [[3.346, 0.000, 0.000], [0.000, 3.346, 0.000], [1.673, 1.673, 7.684]],
  "species": ["Ni", "Ni", "Pd", "Zr", "Zr"],
  "frac_coords": [[0.250, 0.750, 0.500], [0.750, 0.250, 0.500], [0.000, 0.000, 0.000], [0.615, 0.615, 0.770], [0.385, 0.385, 0.230]]
}

***

[3]
{
  "formula": "Mg2FePbC",
  "functional": "PBE",
  "state": "optimized geometry",
  "dos_at_fermi_per_ev_atom": 1.134,
  "ef_mev_per_atom": 2031.0,
  "spacegroup": "No. 123",
  "lattice": [[-5.183, -1.138, -0.604], [-0.456, -0.559, 4.966], [-1.194, 5.184, 0.474]],
  "species": ["Fe", "Pb", "C", "Mg", "Mg"],
  "frac_coords": [[0.000, 0.500, 0.000], [0.000, 0.000, 0.000], [0.500, 0.500, 0.500], [0.000, 0.000, 0.500], [0.500, 0.000, 0.000]]
}

***

[4]
{
  "formula": "LiAcTb",
  "functional": "PBE",
  "state": "optimized geometry",
  "dos_at_fermi_per_ev_atom": 1.116,
  "ef_mev_per_atom": 109.8,
  "spacegroup": "No. 12",
  "lattice": [[-5.033, -4.086, -2.319], [6.800, 0.204, -1.081], [-1.680, -2.080, 5.883]],
  "species": ["Tb", "Tb", "Ac", "Ac", "Li", "Li"],
  "frac_coords": [[0.823, 0.404, 0.227], [0.177, 0.596, 0.773], [0.452, 0.245, 0.697], [0.548, 0.755, 0.303], [0.141, 0.023, 0.164], [0.859, 0.977, 0.836]]
}

***

[5]
{
  "formula": "Y6C3S2Cl",
  "functional": "PBE",
  "state": "optimized geometry",
  "dos_at_fermi_per_ev_atom": 0.211,
  "final_energy_ev_per_atom": -7.631,
  "spacegroup": "No. 12",
  "lattice": [[-3.050, -1.657, 1.312], [2.983, 0.162, 7.143], [-2.766, 7.950, -1.637]],
  "species": ["Y", "Y", "Y", "Y", "Y", "Y", "Cl", "C", "C", "C", "S", "S"],
  "frac_coords": [[0.321, 0.938, 0.642], [0.660, 0.603, 0.319], [0.011, 0.718, 0.021], [0.989, 0.282, 0.979], [0.679, 0.062, 0.358], [0.340, 0.397, 0.681], [0.500, 0.000, 0.000], [0.166, 0.833, 0.333], [0.834, 0.167, 0.667], [0.500, 0.500, 0.000], [0.164, 0.328, 0.327], [0.836, 0.672, 0.673]]
}

***

[6]
{
  "formula": "MnCoPt2",
  "functional": "PBE",
  "state": "optimized geometry",
  "dos_at_fermi_per_ev_atom": 1.409,
  "ef_mev_per_atom": -233.9,
  "spacegroup": "No. 123",
  "lattice": [[-0.004, 0.128, -3.754], [-0.384, -3.838, -0.130], [-3.840, 0.384, 0.017]],
  "species": ["Pt", "Pt", "Mn", "Co"],
  "frac_coords": [[0.500, 0.000, 0.500], [0.500, 0.500, 0.000], [0.000, 0.000, 0.000], [0.000, 0.500, 0.500]]
}